# Cs2RbTlHg2 | Alexandria | PBE | relaxed
# DFT total energy	-1.100	eV/atom
# spin magnetization	0.00	μB per formula unit
# ρ	5.5	g/cm³
data_Cs2RbTlHg2
_chemical_formula_sum 'Cs4 Rb2 Tl2 Hg4'
_cell_length_a 6.181
_cell_length_b 10.302
_cell_length_c 9.128
_cell_angle_alpha 90.00
_cell_angle_beta 90.00
_cell_angle_gamma 90.00
_space_group_name_H-M_alt 'P m c 21'
_space_group_IT_number 26
_space_group_name_Hall 'P 2c -2'
loop_
_atom_site_label
_atom_site_type_symbol
_atom_site_fract_x
_atom_site_fract_y
_atom_site_fract_z
_atom_site_occupancy
Cs1 Cs 0.000 0.135 0.000 1
Cs2 Cs 0.500 0.176 0.630 1
Rb1 Rb 0.000 0.480 0.678 1
Tl1 Tl 0.500 0.293 0.238 1
Hg1 Hg 0.000 0.224 0.393 1
Hg2 Hg 0.500 0.448 0.941 1



# NbBi2Pt | Alexandria | PBE | relaxed
# DFT total energy	-5.282	eV/atom
# spin magnetization	0.00	μB per formula unit
# ρ	9.2	g/cm³
data_NbBi2Pt
_chemical_formula_sum 'Nb4 Bi8 Pt4'
_cell_length_a 6.588
_cell_length_b 6.588
_cell_length_c 11.683
_cell_angle_alpha 90.00
_cell_angle_beta 90.00
_cell_angle_gamma 90.00
_space_group_name_H-M_alt 'I -4 2 d'
_space_group_IT_number 122
_space_group_name_Hall 'I -4 2bw'
loop_
_atom_site_label
_atom_site_type_symbol
_atom_site_fract_x
_atom_site_fract_y
_atom_site_fract_z
_atom_site_occupancy
Nb1 Nb 0.000 0.000 0.000 1
Bi1 Bi 0.238 0.250 0.625 1
Pt1 Pt 0.000 0.000 0.500 1



# MoAuCl2 | Alexandria | PBE | relaxed
# spin magnetization	4.28	μB per formula unit
# ρ	7.3	g/cm³
# energy relative to the elements, uncorrected	0.566	eV per atom
data_MoAuCl2
_chemical_formula_sum 'Mo2 Au2 Cl4'
_cell_length_a 3.841
_cell_length_b 3.841
_cell_length_c 11.283
_cell_angle_alpha 90.00
_cell_angle_beta 90.00
_cell_angle_gamma 90.00
_space_group_name_H-M_alt 'I -4 m 2'
_space_group_IT_number 119
_space_group_name_Hall 'I -4 -2'
loop_
_atom_site_label
_atom_site_type_symbol
_atom_site_fract_x
_atom_site_fract_y
_atom_site_fract_z
_atom_site_occupancy
Mo1 Mo 0.000 0.000 0.000 1
Au1 Au 0.000 0.500 0.750 1
Cl1 Cl 0.000 0.000 0.500 1
Cl2 Cl 0.000 0.500 0.250 1